A plane-wave DFT calculation with PBE+U was carried out for an optimized crystal structure of Fe2HO.

Structure (POSCAR):
```
Fe2HO
1.0
9.801 0.000 0.000
0.000 3.981 0.000
-2.070 0.000 4.001
Fe H O
8 4 4
direct
0.116 0.000 0.366 Fe
0.146 0.500 0.896 Fe
0.354 0.000 0.104 Fe
0.384 0.500 0.634 Fe
0.616 0.500 0.366 Fe
0.646 0.000 0.896 Fe
0.854 0.500 0.104 Fe
0.884 0.000 0.634 Fe
0.127 0.000 0.878 H
0.373 0.500 0.122 H
0.627 0.500 0.878 H
0.873 0.000 0.122 H
0.119 0.500 0.369 O
0.381 0.000 0.631 O
0.619 0.000 0.369 O
0.881 0.500 0.631 O
```

Values from the calculation:
Excess energy over the best structure of this formula in the dataset: 0 meV/atom
SG: No. 12
Calculated density: 5.48 g/cm³